(1)
Material: Si2TeW
Method: DFT, GGA-PBE
State: optimized geometry

- final energy (eV per cell) = -23.57
- raw formation energy (eV per atom) = 0.84

```
Si2TeW
1.0
-2.039 2.039 4.135
2.039 -2.039 4.135
2.039 2.039 -4.135
Si Te W
2 1 1
direct
0.250 0.750 0.500
0.750 0.250 0.500
0.000 0.000 0.000
0.500 0.500 0.000
```

(2)
Material: Si2TeW
Method: DFT, GGA-PBE
State: optimized geometry

- final energy (eV per cell) = -25.33
- raw formation energy (eV per atom) = 0.40

```
Si2TeW
1.0
1.559 0.900 8.829
-1.559 0.900 8.829
0.000 -1.800 8.829
Si Te W
2 1 1
direct
0.235 0.235 0.235
0.765 0.765 0.765
0.000 0.000 0.000
0.500 0.500 0.500
```

(3)
Material: Si4TeW
Method: DFT, GGA-PBE
State: optimized geometry

- final energy (eV per cell) = -33.00
- raw formation energy (eV per atom) = 0.80

```
Si4TeW
1.0
0.000 3.647 3.647
3.647 0.000 3.647
3.647 3.647 0.000
Si Te W
4 1 1
direct
0.125 0.125 0.125
0.125 0.125 0.625
0.125 0.625 0.125
0.625 0.125 0.125
0.750 0.750 0.750
0.500 0.500 0.500
```

(4)
Material: Si2TeW
Method: DFT, GGA-PBE
State: optimized geometry

- final energy (eV per cell) = -25.08
- raw formation energy (eV per atom) = 0.46

```
Si2TeW
1.0
1.805 -2.238 0.000
1.805 2.238 0.000
0.000 0.000 9.616
Si Te W
2 1 1
direct
0.000 0.000 0.194
0.000 0.000 0.806
0.500 0.500 0.500
0.500 0.500 0.000
```

(5)
Material: Si2TeW
Method: DFT, GGA-PBE
State: optimized geometry

- final energy (eV per cell) = -23.86
- raw formation energy (eV per atom) = 0.77

```
Si2TeW
1.0
-2.269 2.269 3.339
2.269 -2.269 3.339
2.269 2.269 -3.339
Si Te W
2 1 1
direct
0.000 0.000 0.000
0.750 0.250 0.500
0.250 0.750 0.500
0.500 0.500 0.000
```

(6)
Material: Si2TeW
Method: DFT, GGA-PBE
State: optimized geometry

- final energy (eV per cell) = -23.56
- raw formation energy (eV per atom) = 0.85

```
Si2TeW
1.0
4.605 0.000 0.000
0.000 4.605 0.000
0.000 0.000 3.281
Si Te W
2 1 1
direct
0.000 0.500 0.000
0.500 0.000 0.000
0.000 0.000 0.500
0.500 0.500 0.500
```

(7)
Material: Si2TeW
Method: DFT, GGA-PBE
State: optimized geometry

- final energy (eV per cell) = -24.34
- raw formation energy (eV per atom) = 0.65

```
Si2TeW
1.0
-1.741 2.355 4.137
1.741 -2.355 4.137
1.741 2.355 -4.137
Si Te W
2 1 1
direct
0.000 0.000 0.000
0.798 0.298 0.500
0.246 0.746 0.500
0.542 0.542 0.000
```

(8)
Material: SiTeW3
Method: DFT, GGA-PBE
State: optimized geometry

- final energy (eV per cell) = -33.76
- raw formation energy (eV per atom) = 2.73

```
SiTeW3
1.0
4.880 0.000 0.000
0.000 4.880 0.000
0.000 0.000 4.880
Si Te W
1 1 3
direct
0.000 0.000 0.000
0.500 0.500 0.500
0.000 0.500 0.500
0.500 0.000 0.500
0.500 0.500 0.000
```